[1]
{"formula": "ZnNi2", "functional": "meta-GGA SCAN", "state": "PBEsol geometry", "lattice_angstrom": [[3.5240, 0.0000, 0.0000], [0.0000, 3.5240, 0.0000], [-1.7620, -1.7620, 10.6885]], "species": ["Ni", "Ni", "Ni", "Ni", "Ni", "Ni", "Ni", "Ni", "Zn", "Zn", "Zn", "Zn"], "frac_coords": [[0.9997, 0.4997, 0.9993], [0.5003, 0.0003, 0.0007], [0.7497, 0.7497, 0.4993], [0.2503, 0.2503, 0.5007], [0.8328, 0.3328, 0.6656], [0.6672, 0.1672, 0.3344], [0.5828, 0.5828, 0.1656], [0.4172, 0.4172, 0.8344], [0.1690, 0.6690, 0.3381], [0.3310, 0.8310, 0.6619], [0.9190, 0.9190, 0.8381], [0.0810, 0.0810, 0.1619]], "delta_e_f_ev_per_atom": -0.1071, "vol_a3_per_cell": 133}



[2]
{"formula": "Sc3FeAu", "functional": "meta-GGA SCAN", "state": "PBEsol geometry", "lattice_angstrom": [[-3.4143, 1.4310, -3.4474], [-2.3945, -4.4237, 0.5353], [-2.8633, 1.9931, 3.6631]], "species": ["Sc", "Sc", "Sc", "Au", "Fe"], "frac_coords": [[0.0000, 0.5000, 0.0000], [0.0000, 0.0000, 0.5000], [0.5000, 0.0000, 0.0000], [0.0000, 0.0000, 0.0000], [0.5000, 0.5000, 0.5000]], "delta_e_f_ev_per_atom": 0.3421, "vol_a3_per_cell": 129}